Record 1
YTiTc2 | PBE | relaxed

```
YTiTc2
1.0
1.2023 -2.6000 3.6160
-3.2195 -1.4577 2.9650
-1.1706 -4.4604 0.1247
Y Tc Ti
1 2 1
Direct
0.5000 0.5000 0.5000 Y
0.2500 0.2500 0.2500 Tc
0.7500 0.7500 0.7500 Tc
0.0000 0.0000 0.0000 Ti
```

Computed properties:
* theoretical density: 7.960 g cm⁻³
* relative energy among the computed polymorphs: 0 meV/atom
* size of the total moment: 0.0 μB per cell


Record 2
Pr2ZrSb3Pt4 | PBE | relaxed

```
Pr2ZrSb3Pt4
1.0
4.5134 0.0000 0.0000
0.0000 4.5134 0.0000
0.0000 0.0000 11.2225
Pt Zr Pr Sb
4 1 2 3
Direct
0.0000 0.5000 0.3653 Pt
0.5000 0.0000 0.6347 Pt
0.0000 0.0000 0.0000 Pt
0.5000 0.5000 0.0000 Pt
0.5000 0.5000 0.5000 Zr
0.0000 0.5000 0.7749 Pr
0.5000 0.0000 0.2251 Pr
0.0000 0.5000 0.1330 Sb
0.5000 0.0000 0.8670 Sb
0.0000 0.0000 0.5000 Sb
```

Computed properties:
* theoretical density: 11.031 g cm⁻³
* uncorrected formation energy: -0.906 eV/atom
* size of the total moment: 0.0 μB per cell